KSr3Cu | the Alexandria database | PBE-GGA | relaxed; relative energy among the computed polymorphs = 1042 meV/atom; E_form = 1.06 eV per atom; total moment = 0.00 μB/cell
1.0
7.058 0.000 0.000
0.000 7.058 0.000
0.000 0.000 7.058
K Sr Cu
1 3 1
Direct
0.000 0.000 0.000
0.000 0.000 0.500
0.000 0.500 0.000
0.500 0.000 0.000
0.500 0.500 0.500